A geometry-optimized YZr2Re structure, computed with GGA-PBE.

Results
The formation energy from the elements comes out at 0.27 eV/atom. The total magnetic moment is 0.00 μB per atom. As for the energy above the most stable polymorph in this dataset: 1.19 eV/f.u.

Cell: 5.727 5.727 3.045 Å, 100.38 100.38 116.23°
Positions (direct):
Y1 0.000 0.000 0.000
Zr1 0.000 0.500 0.500
Zr2 0.500 0.000 0.500
Re1 0.500 0.500 0.000



A geometry-optimized Al2SbIr structure, computed with GGA-PBE.

Results
The uncorrected formation energy comes out at -0.212 eV per atom. The total magnetic moment is 0.00 μB per atom.

Cell: 4.161 4.529 4.623 Å, 90.00 110.17 90.00°
Positions (direct):
Al1 0.000 0.000 0.000
Al2 0.176 0.500 0.400
Sb1 0.645 0.000 0.393
Ir1 0.833 0.500 0.752



A geometry-optimized Cs2CuSnI6 structure, computed with GGA-PBE.

Results
The uncorrected formation energy comes out at -0.802 eV per atom. The total magnetic moment is 0.00 μB per atom.

Cell: 8.380 8.380 8.380 Å, 120.20 120.20 89.65°
Positions (direct):
Cs1 0.250 0.750 0.500
Cs2 0.750 0.250 0.500
Cu1 0.000 0.000 0.000
Sn1 0.500 0.500 0.000
I1 0.240 0.240 0.481
I2 0.240 0.760 0.000
I3 0.242 0.242 0.000
I4 0.758 0.758 0.000
I5 0.760 0.240 0.000
I6 0.760 0.760 0.519



A geometry-optimized Ca2YP2 structure, computed with GGA-PBE.

Results
The formation energy from the elements comes out at -0.70 eV/atom. The total magnetic moment is 0.00 μB per atom. As for the energy above the most stable polymorph in this dataset: 1.74 eV/f.u.

Cell: 6.886 6.886 6.886 Å, 143.68 143.68 52.31°
Positions (direct):
Ca1 0.250 0.750 0.500
Ca2 0.750 0.250 0.500
Y1 0.000 0.000 0.000
P1 0.405 0.405 0.000
P2 0.595 0.595 0.000



A geometry-optimized Tb6Tc2Au structure, computed with GGA-PBE.

Results
The formation energy from the elements comes out at -0.23 eV/atom. The total magnetic moment is 0.00 μB per atom.

Cell: 8.456 8.456 8.456 Å, 111.44 111.41 105.63°
Positions (direct):
Tb1 0.053 0.249 0.804
Tb2 0.167 0.480 0.313
Tb3 0.167 0.855 0.687
Tb4 0.318 0.230 0.548
Tb5 0.318 0.770 0.088
Tb6 0.446 0.249 0.196
Tb7 0.554 0.751 0.804
Tb8 0.682 0.230 0.912
Tb9 0.682 0.770 0.452
Tb10 0.833 0.145 0.313
Tb11 0.833 0.520 0.687
Tb12 0.947 0.751 0.196
Tc1 0.176 0.500 0.676
Tc2 0.386 0.886 0.500
Tc3 0.614 0.114 0.500
Tc4 0.824 0.500 0.324
Au1 0.000 0.000 0.000
Au2 0.500 0.500 0.000



A geometry-optimized LiCrHgBi structure, computed with GGA-PBE.

Results
The formation energy from the elements comes out at 0.03 eV/atom. The total magnetic moment is 1.00 μB per atom.

Cell: 4.924 4.924 4.924 Å, 60.00 60.00 60.00°
Positions (direct):
Li1 0.000 0.000 0.000
Cr1 0.500 0.500 0.500
Hg1 0.750 0.750 0.750
Bi1 0.250 0.250 0.250



A geometry-optimized SrAcGd structure, computed with GGA-PBE.

Results
The formation energy from the elements comes out at 0.10 eV/atom. The total magnetic moment is 2.49 μB per atom. As for the energy above the most stable polymorph in this dataset: 0.04 eV/f.u.

Cell: 3.912 3.912 9.657 Å, 90.00 90.00 120.00°
Positions (direct):
Sr1 0.000 0.000 0.000
Ac1 0.333 0.667 0.637
Gd1 0.667 0.333 0.336



A geometry-optimized BaTcGeTe2 structure, computed with GGA-PBE.

Results
The uncorrected formation energy comes out at 1.456 eV per atom. The total magnetic moment is 0.81 μB per atom.

Cell: 6.370 6.370 5.895 Å, 90.00 90.00 90.00°
Positions (direct):
Ba1 0.000 0.000 0.000
Tc1 0.500 0.500 0.500
Ge1 0.000 0.000 0.500
Te1 0.000 0.500 0.000
Te2 0.500 0.000 0.000